Arrangement w

Here is a relaxed AlCo3F crystal from the Alexandria database. Energies are from GGA+U.

Summary:
N(E_F), states/eV per atom: 0.344
Crystal system: cubic

Unit cell a=4.1016 b=4.1016 c=4.1016 alpha=90.00 beta=90.00 gamma=90.00
Space group Pm-3m (No. 221)
Symmetry-distinct sites (fractional):
Al: 0.0000 0.0000 0.0000 x1
Co: 0.0000 0.5000 0.5000 x3
F: 0.5000 0.5000 0.5000 x1

---

Arrangement x

Here is a relaxed AlCo3F crystal from the Alexandria database. Energies are from GGA+U.

Summary:
N(E_F), states/eV per atom: 0.805
Crystal system: cubic

Unit cell a=4.4592 b=4.4592 c=4.4592 alpha=90.00 beta=90.00 gamma=90.00
Space group Pm-3m (No. 221)
Symmetry-distinct sites (fractional):
Al: 0.0000 0.0000 0.0000 x1
Co: 0.0000 0.0000 0.5000 x3
F: 0.5000 0.5000 0.5000 x1

---

Which is most stable? The ranking, best first, is arrangement w, arrangement x.

---

Arrangement w

Here is a relaxed Al2CoF crystal from the Alexandria database. Energies are from GGA+U.

Summary:
N(E_F), states/eV per atom: 0.401
Crystal system: cubic

Unit cell a=5.8961 b=5.8961 c=5.8961 alpha=90.00 beta=90.00 gamma=90.00
Space group Fm-3m (No. 225)
Symmetry-distinct sites (fractional):
Al: 0.2500 0.2500 0.2500 x8
Co: 0.0000 0.0000 0.0000 x4
F: 0.0000 0.0000 0.5000 x4

---

Arrangement x

Here is a relaxed Al2CoF crystal from the Alexandria database. Energies are from GGA+U.

Summary:
N(E_F), states/eV per atom: 0.069
Crystal system: tetragonal

Unit cell a=5.8214 b=5.8214 c=6.1466 alpha=90.00 beta=90.00 gamma=90.00
Space group I-42d (No. 122)
Symmetry-distinct sites (fractional):
Al: 0.2203 0.7500 0.1250 x8
Co: 0.0000 0.0000 0.5000 x4
F: 0.0000 0.0000 0.0000 x4

---

Which is most stable? The ranking, best first, is arrangement x, arrangement w.

---

Arrangement w

Here is a relaxed AlCoNF2 crystal from the Alexandria database. Energies are from GGA+U.

Summary:
N(E_F), states/eV per atom: 0.066
Crystal system: tetragonal

Unit cell a=3.5776 b=3.5776 c=4.0734 alpha=90.00 beta=90.00 gamma=90.00
Space group P4/mmm (No. 123)
Symmetry-distinct sites (fractional):
Al: 0.0000 0.0000 0.0000 x1
Co: 0.5000 0.5000 0.5000 x1
N: 0.0000 0.0000 0.5000 x1
F: 0.0000 0.5000 0.0000 x2

---

Arrangement x

Here is a relaxed AlCoNF2 crystal from the Alexandria database. Energies are from GGA+U.

Summary:
N(E_F), states/eV per atom: 0.334
Crystal system: tetragonal

Unit cell a=3.9630 b=3.9630 c=3.7356 alpha=90.00 beta=90.00 gamma=90.00
Space group P4/mmm (No. 123)
Symmetry-distinct sites (fractional):
Al: 0.0000 0.0000 0.0000 x1
Co: 0.5000 0.5000 0.5000 x1
N: 0.5000 0.5000 0.0000 x1
F: 0.0000 0.5000 0.5000 x2

---

Which is most stable? The ranking, best first, is arrangement w, arrangement x.